[1]
This record from Alexandria via LeMat-Bulk describes a relaxed structure of Ca4In3Au10. The functional is GGA-PBEsol.

```
Ca4In3Au10
1.0
6.8343 -4.9904 0.0000
6.8343 4.9904 0.0000
0.0000 0.0000 10.0842
Ca In Au
8 6 20
direct
0.1959 0.1959 0.0000
0.1966 0.8034 0.7976
0.3034 0.6966 0.2976
0.3041 0.3041 0.5000
0.6959 0.6959 0.5000
0.6966 0.3034 0.7024
0.8034 0.1966 0.2024
0.8041 0.8041 0.0000
0.0000 0.0000 0.5000
0.0190 0.4810 0.2500
0.4810 0.0190 0.7500
0.5000 0.5000 0.0000
0.5190 0.9810 0.2500
0.9810 0.5190 0.7500
0.0641 0.6516 0.5161
0.0993 0.9007 0.0967
0.1169 0.1682 0.7072
0.1516 0.5641 0.0161
0.1682 0.1169 0.2928
0.3318 0.3831 0.7928
0.3484 0.9359 0.5161
0.3831 0.3318 0.2072
0.4007 0.5993 0.5967
0.4359 0.8484 0.0161
0.5641 0.1516 0.9839
0.5993 0.4007 0.4033
0.6169 0.6682 0.7928
0.6516 0.0641 0.4839
0.6682 0.6169 0.2072
0.8318 0.8831 0.7072
0.8484 0.4359 0.9839
0.8831 0.8318 0.2928
0.9007 0.0993 0.9033
0.9359 0.3484 0.4839
```

Values from the calculation:
**ΔE_f**: -0.612 eV per atom
**Total magnetic moment**: 0.00 Bohr magnetons per cell

---

[2]
This record from Alexandria via LeMat-Bulk describes a relaxed structure of SrYAs. The functional is GGA-PBEsol.

```
SrYAs
1.0
0.0000 3.4995 3.4995
3.4995 0.0000 3.4995
3.4995 3.4995 0.0000
Sr Y As
1 1 1
direct
0.0000 0.0000 0.0000
0.5000 0.5000 0.5000
0.7500 0.7500 0.7500
```

Values from the calculation:
**ΔE_f**: -0.705 eV per atom
**Total magnetic moment**: 0.00 Bohr magnetons per cell

---

[3]
This record from Alexandria via LeMat-Bulk describes a relaxed structure of LaTl7. The functional is GGA-PBEsol.

```
LaTl7
1.0
0.0000 4.8094 4.8094
4.8094 0.0000 4.8094
4.8094 4.8094 0.0000
La Tl
1 7
direct
0.0000 0.0000 0.0000
0.0000 0.0000 0.5000
0.0000 0.5000 0.0000
0.0000 0.5000 0.5000
0.5000 0.0000 0.0000
0.5000 0.0000 0.5000
0.5000 0.5000 0.0000
0.5000 0.5000 0.5000
```

Values from the calculation:
**ΔE_f**: -0.174 eV per atom
**Total magnetic moment**: 0.00 Bohr magnetons per cell

---

[4]
This record from Alexandria via LeMat-Bulk describes a relaxed structure of Sm2Ti2S2O5. The functional is GGA-PBEsol.

```
Sm2Ti2S2O5
1.0
-1.9024 1.9024 11.4207
1.9024 -1.9024 11.4207
1.9024 1.9024 -11.4207
Sm Ti S O
2 2 2 5
direct
0.1665 0.1665 0.0000
0.8335 0.8335 0.0000
0.4212 0.4212 0.0000
0.5788 0.5788 0.0000
0.2953 0.2953 0.0000
0.7047 0.7047 0.0000
0.0984 0.5984 0.5000
0.4016 0.9016 0.5000
0.5000 0.5000 0.0000
0.5984 0.0984 0.5000
0.9016 0.4016 0.5000
```

Values from the calculation:
**Formation energy from raw total energies**: -2.939 eV/atom
**Total magnetic moment**: 0.00 Bohr magnetons per cell

---

[5]
This record from Alexandria via LeMat-Bulk describes a relaxed structure of Ta2AsOs. The functional is GGA-PBEsol.

```
Ta2AsOs
1.0
5.0542 -1.5529 0.0000
5.0542 1.5529 0.0000
-1.5442 0.0000 4.0776
Ta As Os
2 1 1
direct
0.0000 0.0000 0.0000
0.2257 0.2257 0.6661
0.4681 0.4681 0.4700
0.7448 0.7448 0.1790
```

Values from the calculation:
**ΔE_f**: -0.118 eV per atom
**Total magnetic moment**: 0.00 Bohr magnetons per cell

---

[6]
This record from Alexandria via LeMat-Bulk describes a relaxed structure of InSi4Tc. The functional is GGA-PBEsol.

```
InSi4Tc
1.0
0.0000 3.5641 3.5641
3.5641 0.0000 3.5641
3.5641 3.5641 0.0000
In Si Tc
1 4 1
direct
0.0000 0.0000 0.0000
0.3761 0.3761 0.3761
0.3761 0.3761 0.8717
0.3761 0.8717 0.3761
0.8717 0.3761 0.3761
0.7500 0.7500 0.7500
```

Values from the calculation:
**Formation energy from raw total energies**: 0.476 eV/atom
**Total magnetic moment**: 0.00 Bohr magnetons per cell

---

[7]
This record from Alexandria via LeMat-Bulk describes a relaxed structure of Ag3SI. The functional is GGA-PBEsol.

```
Ag3SI
1.0
3.3969 1.9612 2.7484
-3.3969 1.9612 2.7484
0.0000 -3.9224 2.7484
Ag S I
3 1 1
direct
0.0618 0.3962 0.5420
0.3962 0.5420 0.0618
0.5420 0.0618 0.3962
0.5694 0.5694 0.5694
0.0126 0.0126 0.0126
```

Values from the calculation:
**Formation energy from raw total energies**: -0.067 eV/atom
**Total magnetic moment**: 0.00 Bohr magnetons per cell

---

[8]
This record from Alexandria via LeMat-Bulk describes a relaxed structure of ReIrAu. The functional is GGA-PBEsol.

```
ReIrAu
1.0
-1.3938 1.3938 5.8661
1.3938 -1.3938 5.8661
1.3938 1.3938 -5.8661
Re Ir Au
1 1 1
direct
0.0000 0.0000 0.0000
0.3561 0.3561 0.0000
0.6741 0.6741 0.0000
```

Values from the calculation:
**ΔE_f**: 0.112 eV per atom
**Total magnetic moment**: 0.00 Bohr magnetons per cell
**Offset from the most stable computed form**: 0 meV/atom

---

[9]
This record from Alexandria via LeMat-Bulk describes a relaxed structure of Hf2SbP. The functional is GGA-PBEsol.

```
Hf2SbP
1.0
3.7622 0.0000 0.0000
-1.8811 3.2581 0.0000
0.0000 0.0000 13.0412
Hf Sb P
4 2 2
direct
0.3333 0.6667 0.1023
0.3333 0.6667 0.3977
0.6667 0.3333 0.6023
0.6667 0.3333 0.8977
0.3333 0.6667 0.7500
0.6667 0.3333 0.2500
0.0000 0.0000 0.0000
0.0000 0.0000 0.5000
```

Values from the calculation:
**Formation energy from raw total energies**: -1.050 eV/atom
**Total magnetic moment**: 0.00 Bohr magnetons per cell

---

[10]
This record from Alexandria via LeMat-Bulk describes a relaxed structure of BeBiAsBr2. The functional is GGA-PBEsol.

```
BeBiAsBr2
1.0
5.6071 0.0000 0.0000
0.0000 5.6071 0.0000
0.0000 0.0000 5.7115
Be Bi As Br
1 1 1 2
direct
0.0000 0.0000 0.0000
0.5000 0.5000 0.5000
0.5000 0.5000 0.0000
0.0000 0.5000 0.5000
0.5000 0.0000 0.5000
```

Values from the calculation:
**Formation energy from raw total energies**: 0.812 eV/atom
**Total magnetic moment**: 1.38 Bohr magnetons per cell

---

[11]
This record from Alexandria via LeMat-Bulk describes a relaxed structure of ZrNb3C4. The functional is GGA-PBEsol.

```
ZrNb3C4
1.0
1.5961 0.9215 10.4438
-1.5961 0.9215 10.4438
0.0000 -1.8430 10.4438
Zr Nb C
1 3 4
direct
0.0000 0.0000 0.0000
0.2484 0.2484 0.2484
0.5000 0.5000 0.5000
0.7516 0.7516 0.7516
0.1258 0.1258 0.1258
0.3774 0.3774 0.3774
0.6226 0.6226 0.6226
0.8742 0.8742 0.8742
```

Values from the calculation:
**ΔE_f**: -0.649 eV per atom
**Total magnetic moment**: 0.00 Bohr magnetons per cell

---

[12]
This record from Alexandria via LeMat-Bulk describes a relaxed structure of CsSr3S. The functional is GGA-PBEsol.

```
CsSr3S
1.0
5.9413 0.0000 0.0000
0.0000 5.9413 0.0000
0.0000 0.0000 5.9413
Cs Sr S
1 3 1
direct
0.0000 0.0000 0.0000
0.0000 0.0000 0.5000
0.0000 0.5000 0.0000
0.5000 0.0000 0.0000
0.5000 0.5000 0.5000
```

Values from the calculation:
**Formation energy from raw total energies**: 0.959 eV/atom
**Total magnetic moment**: 0.63 Bohr magnetons per cell